Here is NpGa2Pd after structural relaxation from Alexandria via LeMat-Bulk. Energies are from GGA-PBE.

Uncorrected energy: -6.39 eV/atom
Energy of formation: -340 meV per atom
Calculated volume: 71 Å³ per cell

The structure in extended XYZ format:
```
4
Lattice="-0.306 -1.500 2.709 -1.278 -2.418 -1.483 6.680 -2.980 -0.896" Properties=species:S:1:pos:R:3 pbc="T T T"
Np 2.548 -3.449 0.165
Ga 5.292 -2.361 -0.710
Ga 1.388 -0.619 -0.186
Pd -0.792 -1.959 0.613
```